[1]
A geometry-optimized ScTeBr2 structure. Source: the Alexandria database, functional GGA-PBE.

Total DFT energy (no corrections)   -14.25 eV/cell
Crystal system   cubic
Total magnetization   0.000 μB per cell
Formation energy from raw total energies   -0.357 eV/atom
Theoretical density   5.53 g cm⁻³
Space group   Fm-3m (225)

POSCAR file:
```
ScTeBr2
1.0
0.000 3.682 3.682
3.682 0.000 3.682
3.682 3.682 0.000
Sc Te Br
1 1 2
direct
0.000 0.000 0.000
0.500 0.500 0.500
0.250 0.250 0.250
0.750 0.750 0.750
```

[2]
A geometry-optimized ScTeBr2 structure. Source: the Alexandria database, functional GGA-PBE.

Total DFT energy (no corrections)   -14.53 eV/cell
Crystal system   tetragonal
Total magnetization   0.001 μB per cell
Formation energy from raw total energies   -0.429 eV/atom
Theoretical density   5.41 g cm⁻³
Space group   I4/mmm (139)

POSCAR file:
```
ScTeBr2
1.0
5.766 -0.001 0.000
2.036 5.395 0.000
-3.901 -2.697 3.280
Br Sc Te
2 1 1
direct
0.000 0.000 0.000
0.500 0.500 0.000
0.250 0.750 0.500
0.750 0.250 0.500
```

[3]
A geometry-optimized ScTe2Br structure. Source: the Alexandria database, functional GGA-PBE.

Total DFT energy (no corrections)   -16.76 eV/cell
Crystal system   tetragonal
Total magnetization   0.000 μB per cell
Formation energy from raw total energies   -0.618 eV/atom
Theoretical density   5.47 g cm⁻³
Space group   P4mm (99)

POSCAR file:
```
ScTe2Br
1.0
-1.381 -0.360 3.382
-2.899 -1.783 -1.374
4.149 -7.439 0.902
Br Sc Te
1 1 2
direct
0.000 0.000 0.578
0.500 0.500 0.791
0.000 0.000 0.952
0.500 0.500 0.178
```

[4]
A geometry-optimized Sc2TeBr structure. Source: the Alexandria database, functional GGA-PBE.

Total DFT energy (no corrections)   -18.39 eV/cell
Crystal system   cubic
Total magnetization   2.995 μB per cell
Formation energy from raw total energies   -0.228 eV/atom
Theoretical density   4.89 g cm⁻³
Space group   F-43m (216)

POSCAR file:
```
Sc2TeBr
1.0
-0.071 3.809 3.581
-2.620 -0.668 4.475
2.607 -0.588 4.494
Br Sc Te
1 2 1
direct
0.500 0.500 0.500
0.000 0.000 0.000
0.250 0.250 0.250
0.750 0.750 0.750
```

[5]
A geometry-optimized ScTe2Br structure. Source: the Alexandria database, functional GGA-PBE.

Total DFT energy (no corrections)   -15.05 eV/cell
Crystal system   tetragonal
Total magnetization   0.000 μB per cell
Formation energy from raw total energies   -0.190 eV/atom
Theoretical density   5.91 g cm⁻³
Space group   P4/mmm (123)

POSCAR file:
```
ScTe2Br
1.0
5.210 0.000 0.000
0.000 5.210 0.000
0.000 0.000 3.932
Br Sc Te
1 1 2
direct
0.500 0.000 0.500
0.000 0.500 0.500
0.000 0.000 0.000
0.500 0.500 0.000
```

[6]
A geometry-optimized ScTe2Br structure. Source: the Alexandria database, functional GGA-PBE.

Total DFT energy (no corrections)   -16.07 eV/cell
Crystal system   tetragonal
Total magnetization   0.000 μB per cell
Formation energy from raw total energies   -0.445 eV/atom
Theoretical density   6.06 g cm⁻³
Space group   I4/mmm (139)

POSCAR file:
```
ScTe2Br
1.0
-5.486 1.792 1.386
-3.790 -4.441 1.069
5.449 1.386 1.902
Br Sc Te
1 1 2
direct
0.250 0.750 0.500
0.750 0.250 0.500
0.000 0.000 0.000
0.500 0.500 0.000
```

[7]
A geometry-optimized ScTeBr2 structure. Source: the Alexandria database, functional GGA-PBE.

Total DFT energy (no corrections)   -15.88 eV/cell
Crystal system   tetragonal
Total magnetization   0.000 μB per cell
Formation energy from raw total energies   -0.765 eV/atom
Theoretical density   4.53 g cm⁻³
Space group   P4mm (99)

POSCAR file:
```
ScTeBr2
1.0
-2.967 -0.206 -2.457
-1.249 -3.188 1.776
-4.514 4.592 5.067
Br Sc Te
2 1 1
direct
0.000 0.000 0.912
0.500 0.500 0.324
0.000 0.000 0.565
0.500 0.500 0.698
```

[8]
A geometry-optimized Sc2TeBr structure. Source: the Alexandria database, functional GGA-PBE.

Total DFT energy (no corrections)   -20.92 eV/cell
Crystal system   orthorhombic
Total magnetization   0.454 μB per cell
Formation energy from raw total energies   -0.861 eV/atom
Theoretical density   5.07 g cm⁻³
Space group   Amm2 (38)

POSCAR file:
```
Sc2TeBr
1.0
5.168 0.000 0.000
0.000 3.682 -0.005
0.000 1.850 5.114
Br Sc Te
1 2 1
direct
0.500 0.871 0.884
0.000 0.877 0.869
0.500 0.155 0.315
0.000 0.596 0.431
```

[9]
A geometry-optimized ScTe2Br structure. Source: the Alexandria database, functional GGA-PBE.

Total DFT energy (no corrections)   -18.11 eV/cell
Crystal system   monoclinic
Total magnetization   0.000 μB per cell
Formation energy from raw total energies   -0.956 eV/atom
Theoretical density   4.61 g cm⁻³
Space group   Cm (8)

POSCAR file:
```
ScTe2Br
1.0
5.721 -0.004 0.009
4.361 3.702 0.009
1.385 0.508 6.468
Br Sc Te
1 1 2
direct
0.408 0.408 0.579
0.787 0.787 0.851
0.079 0.079 0.887
0.226 0.226 0.183
```

[10]
A geometry-optimized ScTeBr2 structure. Source: the Alexandria database, functional GGA-PBE.

Total DFT energy (no corrections)   -14.68 eV/cell
Crystal system   tetragonal
Total magnetization   0.000 μB per cell
Formation energy from raw total energies   -0.464 eV/atom
Theoretical density   5.47 g cm⁻³
Space group   I-4m2 (119)

POSCAR file:
```
ScTeBr2
1.0
5.633 -0.083 0.000
1.771 5.348 0.000
-3.702 -2.633 3.332
Br Sc Te
2 1 1
direct
0.000 0.000 0.000
0.250 0.750 0.500
0.500 0.500 0.000
0.750 0.250 0.500
```

[11]
A geometry-optimized ScTe2Br structure. Source: the Alexandria database, functional GGA-PBE.

Total DFT energy (no corrections)   -17.98 eV/cell
Crystal system   monoclinic
Total magnetization   0.000 μB per cell
Formation energy from raw total energies   -0.923 eV/atom
Theoretical density   4.83 g cm⁻³
Space group   P2/m (10)

POSCAR file:
```
ScTe2Br
1.0
4.241 0.000 0.000
0.000 5.873 0.145
0.000 4.184 5.348
Br Sc Te
1 1 2
direct
0.500 0.250 0.250
0.500 0.750 0.750
0.000 0.944 0.917
0.000 0.556 0.583
```

[12]
A geometry-optimized ScTeBr2 structure. Source: the Alexandria database, functional GGA-PBE.

Total DFT energy (no corrections)   -16.63 eV/cell
Crystal system   trigonal
Total magnetization   0.000 μB per cell
Formation energy from raw total energies   -0.952 eV/atom
Theoretical density   4.44 g cm⁻³
Space group   R-3m (166)

POSCAR file:
```
ScTeBr2
1.0
2.058 0.000 11.305
-1.029 1.782 11.305
-1.029 -1.782 11.305
Sc Te Br
1 1 2
direct
0.500 0.500 0.500
0.000 0.000 0.000
0.884 0.884 0.884
0.116 0.116 0.116
```

[13]
A geometry-optimized ScTeBr2 structure. Source: the Alexandria database, functional GGA-PBE.

Total DFT energy (no corrections)   -16.88 eV/cell
Crystal system   monoclinic
Total magnetization   0.912 μB per cell
Formation energy from raw total energies   -1.016 eV/atom
Theoretical density   4.09 g cm⁻³
Space group   Pm (6)

POSCAR file:
```
ScTeBr2
1.0
-0.415 -1.720 3.363
-3.525 -2.469 -1.698
3.156 -6.713 -3.044
Br Sc Te
2 1 1
direct
0.000 0.105 0.920
0.500 0.397 0.328
0.000 0.269 0.586
0.500 0.730 0.666
```

[14]
A geometry-optimized ScTeBr2 structure. Source: the Alexandria database, functional GGA-PBE.

Total DFT energy (no corrections)   -14.66 eV/cell
Crystal system   orthorhombic
Total magnetization   0.464 μB per cell
Formation energy from raw total energies   -0.460 eV/atom
Theoretical density   5.40 g cm⁻³
Space group   Pmmm (47)

POSCAR file:
```
ScTeBr2
1.0
3.676 0.000 0.000
0.000 5.681 0.000
0.000 0.000 4.891
Br Sc Te
2 1 1
direct
0.000 0.000 0.000
0.500 0.500 0.000
0.500 0.000 0.500
0.000 0.500 0.500
```

[15]
A geometry-optimized Sc2TeBr structure. Source: the Alexandria database, functional GGA-PBE.

Total DFT energy (no corrections)   -21.53 eV/cell
Crystal system   monoclinic
Total magnetization   0.000 μB per cell
Formation energy from raw total energies   -1.014 eV/atom
Theoretical density   4.51 g cm⁻³
Space group   Cm (8)

POSCAR file:
```
Sc2TeBr
1.0
7.859 0.693 -0.768
6.642 4.258 -0.768
0.362 0.124 3.754
Br Sc Te
1 2 1
direct
0.254 0.254 0.124
0.067 0.067 0.125
0.685 0.685 0.625
0.493 0.493 0.626
```